# 1
DFT (GGA-PBE) results for a geometry-optimized PuNi3As3 structure.

Summary:
Energy = -97.5 eV for the cell shown
ΔH_f (0 K) = -3.1 eV/f.u.
Symmetry = No. 176

a b c (Å): 4.110 8.071 8.071
angles (deg): 120.00 90.00 90.00
Positions (direct):
As 0.750 0.921 0.621
Ni 0.750 0.051 0.215
As 0.250 0.079 0.379
As 0.750 0.700 0.079
Ni 0.250 0.836 0.051
Ni 0.250 0.949 0.785
As 0.750 0.379 0.300
As 0.250 0.621 0.700
As 0.250 0.300 0.921
Ni 0.750 0.164 0.949
Ni 0.750 0.785 0.836
Ni 0.250 0.215 0.164
Pu 0.750 0.333 0.667
Pu 0.250 0.667 0.333

***

# 2
DFT (GGA-PBE) results for a geometry-optimized PuNiAs2 structure.

Summary:
Energy = -29.4 eV for the cell shown
ΔH_f (0 K) = 0.1 eV/f.u.
Symmetry = No. 166

a b c (Å): 3.179 3.179 9.297
angles (deg): 80.15 80.15 60.00
Positions (direct):
Ni 0.500 0.500 0.500
As 0.892 0.892 0.325
As 0.108 0.108 0.675
Pu 0.000 0.000 0.000

***

# 3
DFT (GGA-PBE) results for a geometry-optimized PuNi2As2 structure.

Summary:
Energy = -75.9 eV for the cell shown
ΔH_f (0 K) = -2.8 eV/f.u.
Symmetry = No. 70

a b c (Å): 5.720 5.720 6.686
angles (deg): 102.51 102.51 119.57
Positions (direct):
Pu 0.125 0.375 0.250
Pu 0.875 0.625 0.750
Ni 0.270 0.021 0.541
Ni 0.521 0.770 0.041
As 0.574 0.926 0.750
As 0.426 0.074 0.250
As 0.824 0.676 0.250
Ni 0.730 0.979 0.459
Ni 0.479 0.230 0.959
As 0.176 0.324 0.750

***

# 4
DFT (GGA-PBE) results for a geometry-optimized Pu2Ni12As7 structure.

Summary:
Energy = -140.1 eV for the cell shown
ΔH_f (0 K) = -9.5 eV/f.u.
Symmetry = No. 174

a b c (Å): 3.837 9.411 9.411
angles (deg): 120.00 90.00 90.00
Positions (direct):
Ni 0.000 0.459 0.514
Ni 0.500 0.543 0.759
As 0.500 0.444 0.075
Ni 0.000 0.281 0.050
As 0.000 0.215 0.262
Ni 0.000 0.486 0.945
As 0.000 0.333 0.667
Ni 0.000 0.055 0.541
As 0.500 0.925 0.370
Ni 0.500 0.911 0.622
Ni 0.500 0.378 0.289
Ni 0.000 0.769 0.719
Ni 0.500 0.711 0.089
Pu 0.500 0.000 0.000
Ni 0.000 0.950 0.231
As 0.000 0.738 0.953
Pu 0.000 0.667 0.333
As 0.500 0.630 0.556
Ni 0.500 0.241 0.784
Ni 0.500 0.216 0.457
As 0.000 0.047 0.785